1.
Compound: Cd2GeBPt6
Source: Alexandria via LeMat-Bulk
Functional: PBE
Structure: relaxed

a = 5.6221 Å, b = 5.6371 Å, c = 6.9210 Å
α = 69.02°, β = 69.25°, γ = 60.24°
Closest atoms and distances in Å follow each position.
Space group P-1 (No. 2)
Unique sites:
Cd 0.2481 0.2571 0.1793 [2 per cell]  7 Pt 2.86-3.07, 1 Ge 3.18
Ge 0.0000 0.0000 0.0000 [1 per cell]  6 Pt 2.51-2.56
B 0.5000 0.5000 0.5000 [1 per cell]  6 Pt 2.09-2.12
Pt 0.1817 0.7059 0.3308 [2 per cell]  1 B 2.09
Pt 0.2842 0.2720 0.7421 [2 per cell]  1 B 2.12
Pt 0.2971 0.8098 0.6748 [2 per cell]  1 B 2.09

## Properties
Total moment, μB per formula unit: 0.00



2.
Compound: Cd3GeB2Pt9
Source: Alexandria via LeMat-Bulk
Functional: PBE
Structure: relaxed

a = 5.7333 Å, b = 5.7333 Å, c = 9.1233 Å
α = 90.00°, β = 90.00°, γ = 120.00°
Closest atoms and distances in Å follow each position.
Space group P-3m1 (No. 164)
Unique sites:
Cd 0.0000 0.0000 0.0000 [1 per cell]  12 Pt 2.87-3.03
Cd 0.3333 0.6667 0.6977 [2 per cell]  9 Pt 2.87-3.22
Ge 0.0000 0.0000 0.5000 [1 per cell]  6 Pt 2.54
B 0.3333 0.6667 0.1532 [2 per cell]  6 Pt 2.08-2.17
Pt 0.0000 0.5000 0.0000 [3 per cell]  2 B 2.17
Pt 0.1606 0.3212 0.2827 [6 per cell]  1 B 2.08

## Properties
Total moment, μB per formula unit: 0.00



3.
Compound: CdRe2GeB
Source: Alexandria via LeMat-Bulk
Functional: PBE
Structure: relaxed

a = 4.2227 Å, b = 4.2227 Å, c = 4.3565 Å
α = 90.00°, β = 90.00°, γ = 90.00°
Closest atoms and distances in Å follow each position.
Space group P4/mmm (No. 123)
Unique sites:
Cd 0.0000 0.0000 0.0000 [1 per cell]  2 B 2.18
Re 0.0000 0.5000 0.5000 [2 per cell]  2 B 2.11
Ge 0.5000 0.5000 0.0000 [1 per cell]  4 Cd 2.99, 8 Re 3.03
B 0.0000 0.0000 0.5000 [1 per cell]  4 Re 2.11, 2 Cd 2.18

## Properties
Total moment, μB per formula unit: 0.00



DFT formation energy? In order: -0.2751; -0.2614; 0.7893 eV per atom.